Compound: TlV2W
Source: the Alexandria database
Functional: PBE
Structure: optimized geometry

Geometry as POSCAR:
```
TlV2W
1.0
-2.184 -2.931 -6.244
5.082 -5.112 0.622
-0.335 -5.627 -1.433
Tl W V
2 2 4
direct
0.000 0.000 0.000
0.750 0.250 0.500
0.500 0.500 0.000
0.250 0.750 0.500
0.586 0.125 0.250
0.164 0.625 0.250
0.375 0.414 0.750
0.875 0.836 0.750
```

Output
- ΔE to the lowest computed polymorph (eV per formula unit) = 2.07
- electronic total energy (eV per atom) = -7.418